The following is a PBE-GGA calculation of a relaxed KLu crystal, from the Open Quantum Materials Database.

abc: 7.057 7.057 7.057
angles: 90.00 90.00 90.00
Fractional positions:
K1 0.000 0.000 0.000
K2 0.000 0.500 0.500
K3 0.500 0.000 0.500
K4 0.500 0.500 0.000
Lu1 0.000 0.000 0.500
Lu2 0.000 0.500 0.000
Lu3 0.500 0.000 0.000
Lu4 0.500 0.500 0.500

Properties
As for the space-group type: Fm-3m (225).

=====

The following is a PBE-GGA calculation of a relaxed LiLa2AuSe2O2 crystal, from the Open Quantum Materials Database.

abc: 4.114 4.114 9.127
angles: 90.00 90.00 90.00
Fractional positions:
Li1 0.000 0.000 0.000
La1 0.000 0.500 0.367
La2 0.500 0.000 0.633
Au1 0.500 0.500 0.000
Se1 0.000 0.500 0.813
Se2 0.500 0.000 0.187
O1 0.000 0.000 0.500
O2 0.500 0.500 0.500

Properties
As for the space-group type: P-4m2 (115).

=====

The following is a PBE-GGA calculation of a relaxed Hf2BeTl crystal, from the Open Quantum Materials Database.

abc: 6.818 6.818 6.818
angles: 90.00 90.00 90.00
Fractional positions:
Hf1 0.000 0.000 0.000
Hf2 0.000 0.500 0.500
Hf3 0.250 0.250 0.250
Hf4 0.250 0.750 0.750
Hf5 0.500 0.000 0.500
Hf6 0.500 0.500 0.000
Hf7 0.750 0.250 0.750
Hf8 0.750 0.750 0.250
Be1 0.250 0.250 0.750
Be2 0.250 0.750 0.250
Be3 0.750 0.250 0.250
Be4 0.750 0.750 0.750
Tl1 0.000 0.000 0.500
Tl2 0.000 0.500 0.000
Tl3 0.500 0.000 0.000
Tl4 0.500 0.500 0.500

Properties
As for the space-group type: F-43m (216).

=====

The following is a PBE-GGA calculation of a relaxed CsLiMoPt crystal, from the Open Quantum Materials Database.

abc: 7.216 7.216 7.216
angles: 90.00 90.00 90.00
Fractional positions:
Cs1 0.000 0.000 0.000
Cs2 0.000 0.500 0.500
Cs3 0.500 0.000 0.500
Cs4 0.500 0.500 0.000
Li1 0.250 0.250 0.750
Li2 0.250 0.750 0.250
Li3 0.750 0.250 0.250
Li4 0.750 0.750 0.750
Mo1 0.000 0.000 0.500
Mo2 0.000 0.500 0.000
Mo3 0.500 0.000 0.000
Mo4 0.500 0.500 0.500
Pt1 0.250 0.250 0.250
Pt2 0.250 0.750 0.750
Pt3 0.750 0.250 0.750
Pt4 0.750 0.750 0.250

Properties
As for the space-group type: F-43m (216).

=====

VASP energy values, unit eV for the cell shown, following the record order: -12.40 -49.50 -92.94 -60.75.
V values, unit Å³ per atom, following the record order: 43.9 19.3 19.8 23.5.